Record 1
The following is a DFT calculation (PBE) of a relaxed structure of ZnCoCu.

Cell: 2.652 2.652 10.404 Å, 90.00 90.00 90.00°
Space group P4/nmm (No. 129, origin choice 2)
Unique sites:
1 Zn 0.250 0.250 0.241 [2 per cell]
2 Co 0.250 0.250 0.929 [2 per cell]
3 Cu 0.250 0.250 0.584 [2 per cell]

Calculated values
polymorph energy (0 for the lowest one)	0.000	eV/atom
crystal system	tetragonal



Record 2
The following is a DFT calculation (PBE) of a relaxed structure of ZnCoCu2.

Cell: 2.519 3.791 5.074 Å, 90.00 94.23 90.00°
Space group P2/m (No. 10)
Unique sites:
1 Zn 0.000 0.000 0.000 [1 per cell]
2 Co 0.000 0.000 0.500 [1 per cell]
3 Cu 0.497 0.500 0.257 [2 per cell]

Calculated values
crystal system	monoclinic



Record 3
The following is a DFT calculation (PBE) of a relaxed structure of ZnCoCu.

Cell: 5.574 5.574 5.574 Å, 90.00 90.00 90.00°
Space group F-43m (No. 216)
Unique sites:
1 Zn 0.000 0.000 0.000 [4 per cell]
2 Co 0.000 0.000 0.500 [4 per cell]
3 Cu 0.250 0.250 0.250 [4 per cell]

Calculated values
polymorph energy (0 for the lowest one)	0.497	eV/atom
crystal system	cubic



no.,calculated volume (Å³ per atom),total DFT energy (no corrections) (eV/atom)
1,12.20,-4.20
2,12.08,-4.08
3,14.43,-3.70